# Ho8MgHg2, relaxed, DFT GGA-PBE
data_Ho8MgHg2
_symmetry_space_group_name_H-M 'C 1 2/m 1'
_symmetry_Int_Tables_number 12
_cell_length_a 8.790
_cell_length_b 14.617
_cell_length_c 5.465
_cell_angle_alpha 90.00
_cell_angle_beta 111.32
_cell_angle_gamma 90.00
loop_
_symmetry_equiv_pos_as_xyz
'x,y,z'
'-x,-y,-z'
'-x,y,-z'
'x,-y,z'
'x+1/2,y+1/2,z'
'-x+1/2,-y+1/2,-z'
'-x+1/2,y+1/2,-z'
'x+1/2,-y+1/2,z'
loop_
_atom_site_label
_atom_site_type_symbol
_atom_site_fract_x
_atom_site_fract_y
_atom_site_fract_z
Ho1 Ho 0.000 0.224 0.000
Ho2 Ho 0.102 0.500 0.803
Ho3 Ho 0.210 0.116 0.607
Mg1 Mg 0.000 0.000 0.000
Hg1 Hg 0.000 0.305 0.500
# Density in g cm⁻³: 8.86
# Density of states at the Fermi level in states/eV/atom: 1.2808
# DFT formation energy in eV/atom: -0.053
# Magnetization in Bohr magnetons per cell: 0.0